No. 1
VASP calculation (PBE-GGA) on an optimized crystal structure of NaCaEuSb.

Output
- formation energy (no corrections) (eV per atom) = -0.482

a b c (Å): 5.5675 5.5675 5.5675
angles (deg): 60.00 60.00 60.00
Last column: nearest neighbours and their distance in Å.
Sites, in units of the cell vectors:
Sb1 0.2500 0.2500 0.2500  4 Ca 3.41, 4 Eu 3.41
Na1 0.7500 0.7500 0.7500  4 Ca 3.41, 4 Eu 3.41
Ca1 0.0000 0.0000 0.0000  4 Na 3.41, 4 Sb 3.41
Eu1 0.5000 0.5000 0.5000  4 Na 3.41, 4 Sb 3.41

No. 2
VASP calculation (PBE-GGA) on an optimized crystal structure of NaCaEuSi.

Output
- formation energy (no corrections) (eV per atom) = -0.186

a b c (Å): 5.3484 5.3484 5.3484
angles (deg): 60.00 60.00 60.00
Last column: nearest neighbours and their distance in Å.
Sites, in units of the cell vectors:
Na1 0.2500 0.2500 0.2500  4 Ca 3.28, 4 Eu 3.28
Ca1 0.5000 0.5000 0.5000  4 Na 3.28, 4 Si 3.28
Eu1 0.0000 0.0000 0.0000  4 Si 3.28, 4 Na 3.28
Si1 0.7500 0.7500 0.7500  4 Eu 3.28, 4 Ca 3.28

No. 3
VASP calculation (PBE-GGA) on an optimized crystal structure of NaSrCaEu.

Output
- formation enthalpy at 0 K (eV/f.u.) = 0.4

a b c (Å): 6.3639 6.3639 6.3639
angles (deg): 60.00 60.00 60.00
Last column: nearest neighbours and their distance in Å.
Sites, in units of the cell vectors:
Sr1 0.2500 0.2500 0.2500  4 Na 3.90, 4 Ca 3.90
Na1 0.0000 0.0000 0.0000  4 Sr 3.90, 4 Eu 3.90
Eu1 0.7500 0.7500 0.7500  4 Ca 3.90, 4 Na 3.90
Ca1 0.5000 0.5000 0.5000  4 Eu 3.90, 4 Sr 3.90

No. 4
VASP calculation (PBE-GGA) on an optimized crystal structure of CaEu2Nb.

Output
- formation enthalpy at 0 K (eV/f.u.) = 3.0

a b c (Å): 3.3722 3.3722 12.6806
angles (deg): 82.36 82.36 60.00
Last column: nearest neighbours and their distance in Å.
Sites, in units of the cell vectors:
Eu1 0.0789 0.0789 0.7634  1 Nb 2.96
Eu2 0.9211 0.9211 0.2366  1 Nb 2.96
Ca1 0.5000 0.5000 0.5000  6 Ca 3.37
Nb1 0.0000 0.0000 0.0000  2 Eu 2.96

No. 5
VASP calculation (PBE-GGA) on an optimized crystal structure of CaEuTiNbO6.

Output
- formation energy (no corrections) (eV per atom) = -2.904

a b c (Å): 5.6427 5.6427 5.6427
angles (deg): 60.00 60.00 60.00
Last column: nearest neighbours and their distance in Å.
Sites, in units of the cell vectors:
Eu1 0.2500 0.2500 0.2500  12 O 2.82
O1 0.2530 0.7470 0.7470  1 Ti 1.97, 1 Nb 2.02
O2 0.2530 0.7470 0.2530  1 Ti 1.97, 1 Nb 2.02
O3 0.2530 0.2530 0.7470  1 Ti 1.97, 1 Nb 2.02
O4 0.7470 0.2530 0.7470  1 Ti 1.97, 1 Nb 2.02
O5 0.7470 0.7470 0.2530  1 Ti 1.97, 1 Nb 2.02
O6 0.7470 0.2530 0.2530  1 Ti 1.97, 1 Nb 2.02
Nb1 0.0000 0.0000 0.0000  6 O 2.02
Ca1 0.7500 0.7500 0.7500  12 O 2.82
Ti1 0.5000 0.5000 0.5000  6 O 1.97

The DOS(E_F) results, record by record, are as follows: 2.4 10.6 3.4 5.6 11.1 states/eV/cell.